Record 1
# SCAN AgPt5, single point on PBEsol structure
# - ΔE_f: 0.063 eV/atom
data_AgPt5
_space_group_name_H-M_alt 'P -1'
_space_group_IT_number 2
_cell_length_a 4.803
_cell_length_b 4.813
_cell_length_c 8.341
_cell_angle_alpha 73.23
_cell_angle_beta 84.54
_cell_angle_gamma 80.35
loop_
_space_group_symop_operation_xyz
'x,y,z'
'-x,-y,-z'
loop_
_atom_site_label
_atom_site_fract_x
_atom_site_fract_y
_atom_site_fract_z
_atom_site_occupancy
Ag1 0.126 0.041 0.208 1
Pt1 0.127 0.374 0.875 1
Pt2 0.127 0.705 0.543 1
Pt3 0.370 0.127 0.622 1
Pt4 0.378 0.457 0.292 1
Pt5 0.378 0.787 0.960 1

Record 2
# SCAN Ag5Pt7, single point on PBEsol structure
# - ΔE_f: 0.009 eV/atom
# - Polymorph energy (0 for the lowest one): 0.006 eV/atom
data_Ag5Pt7
_space_group_name_H-M_alt 'P m m m'
_space_group_IT_number 47
_cell_length_a 2.765
_cell_length_b 7.874
_cell_length_c 8.527
_cell_angle_alpha 90.00
_cell_angle_beta 90.00
_cell_angle_gamma 90.00
loop_
_space_group_symop_operation_xyz
'x,y,z'
'-x,-y,-z'
'-x,-y,z'
'x,y,-z'
'x,-y,-z'
'-x,y,z'
'-x,y,-z'
'x,-y,z'
loop_
_atom_site_label
_atom_site_fract_x
_atom_site_fract_y
_atom_site_fract_z
_atom_site_occupancy
Ag1 0.000 0.000 0.000 1
Ag2 0.000 0.500 0.337 1
Ag3 0.500 0.240 0.500 1
Pt1 0.000 0.000 0.321 1
Pt2 0.000 0.500 0.000 1
Pt3 0.500 0.254 0.165 1

Record 3
# SCAN Ag3Pt2, single point on PBEsol structure
# - ΔE_f: 0.010 eV/atom
# - Polymorph energy (0 for the lowest one): 0.054 eV/atom
data_Ag3Pt2
_space_group_name_H-M_alt 'C 1 2/m 1'
_space_group_IT_number 12
_cell_length_a 14.667
_cell_length_b 2.798
_cell_length_c 7.998
_cell_angle_alpha 90.00
_cell_angle_beta 106.24
_cell_angle_gamma 90.00
loop_
_space_group_symop_operation_xyz
'x,y,z'
'-x,-y,-z'
'-x,y,-z'
'x,-y,z'
'x+1/2,y+1/2,z'
'-x+1/2,-y+1/2,-z'
'-x+1/2,y+1/2,-z'
'x+1/2,-y+1/2,z'
loop_
_atom_site_label
_atom_site_fract_x
_atom_site_fract_y
_atom_site_fract_z
_atom_site_occupancy
Ag1 0.000 0.000 0.000 1
Ag2 0.000 0.000 0.500 1
Ag3 0.101 0.500 0.298 1
Ag4 0.201 0.000 0.606 1
Pt1 0.100 0.500 0.802 1
Pt2 0.199 0.000 0.091 1

Record 4
# SCAN Ag2Pt3, single point on PBEsol structure
# - ΔE_f: 0.017 eV/atom
# - Polymorph energy (0 for the lowest one): 0.031 eV/atom
data_Ag2Pt3
_space_group_name_H-M_alt 'C 1 m 1'
_space_group_IT_number 8
_cell_length_a 23.124
_cell_length_b 2.762
_cell_length_c 4.844
_cell_angle_alpha 90.00
_cell_angle_beta 93.88
_cell_angle_gamma 90.00
loop_
_space_group_symop_operation_xyz
'x,y,z'
'x,-y,z'
'x+1/2,y+1/2,z'
'x+1/2,-y+1/2,z'
loop_
_atom_site_label
_atom_site_fract_x
_atom_site_fract_y
_atom_site_fract_z
_atom_site_occupancy
Ag1 0.000 0.000 0.000 1
Ag2 0.002 0.500 0.505 1
Ag3 0.202 0.000 0.403 1
Ag4 0.401 0.500 0.301 1
Pt1 0.101 0.500 0.199 1
Pt2 0.103 0.000 0.702 1
Pt3 0.201 0.500 0.902 1
Pt4 0.299 0.000 0.098 1
Pt5 0.302 0.500 0.606 1
Pt6 0.399 0.000 0.801 1

Record 5
# SCAN Ag5Pt, single point on PBEsol structure
# - ΔE_f: 0.403 eV/atom
# - Polymorph energy (0 for the lowest one): 0.403 eV/atom
data_Ag5Pt
_space_group_name_H-M_alt 'P 6/m m m'
_space_group_IT_number 191
_space_group_name_Hall '-P 6 2'
_cell_length_a 5.1761
_cell_length_b 5.1761
_cell_length_c 4.6535
_cell_angle_alpha 90.00
_cell_angle_beta 90.00
_cell_angle_gamma 120.00
loop_
_atom_site_label
_atom_site_fract_x
_atom_site_fract_y
_atom_site_fract_z
_atom_site_occupancy
Ag1 0.0000 0.5000 0.0000 1
Ag2 0.3333 0.6667 0.5000 1
Pt1 0.0000 0.0000 0.5000 1

Record 6
# SCAN Ag5Pt7, single point on PBEsol structure
# - ΔE_f: 0.048 eV/atom
# - Polymorph energy (0 for the lowest one): 0.045 eV/atom
data_Ag5Pt7
_space_group_name_H-M_alt 'I m m 2'
_space_group_IT_number 44
_cell_length_a 3.971
_cell_length_b 7.884
_cell_length_c 11.879
_cell_angle_alpha 90.00
_cell_angle_beta 90.00
_cell_angle_gamma 90.00
loop_
_space_group_symop_operation_xyz
'x,y,z'
'-x,-y,z'
'-x,y,z'
'x,-y,z'
'x+1/2,y+1/2,z+1/2'
'-x+1/2,-y+1/2,z+1/2'
'-x+1/2,y+1/2,z+1/2'
'x+1/2,-y+1/2,z+1/2'
loop_
_atom_site_label
_atom_site_fract_x
_atom_site_fract_y
_atom_site_fract_z
_atom_site_occupancy
Ag1 0.000 0.000 0.000 1
Ag2 0.000 0.000 0.328 1
Ag3 0.000 0.251 0.832 1
Ag4 0.000 0.500 0.663 1
Pt1 0.000 0.000 0.666 1
Pt2 0.000 0.243 0.501 1
Pt3 0.000 0.260 0.163 1
Pt4 0.000 0.500 0.000 1
Pt5 0.000 0.500 0.336 1

Record 7
# SCAN Ag4Pt, single point on PBEsol structure
# - ΔE_f: 0.007 eV/atom
# - Polymorph energy (0 for the lowest one): 0.022 eV/atom
data_Ag4Pt
_space_group_name_H-M_alt 'I m m m'
_space_group_IT_number 71
_space_group_name_Hall '-I 2 2'
_cell_length_a 2.821
_cell_length_b 4.032
_cell_length_c 14.174
_cell_angle_alpha 90.00
_cell_angle_beta 90.00
_cell_angle_gamma 90.00
loop_
_atom_site_label
_atom_site_fract_x
_atom_site_fract_y
_atom_site_fract_z
_atom_site_occupancy
Ag1 0.000 0.000 0.099 1
Ag2 0.000 0.000 0.301 1
Pt1 0.000 0.000 0.500 1

Record 8
# SCAN Ag7Pt5, single point on PBEsol structure
# - ΔE_f: 0.003 eV/atom
# - Polymorph energy (0 for the lowest one): 0.014 eV/atom
data_Ag7Pt5
_space_group_name_H-M_alt 'P 1 2/m 1'
_space_group_IT_number 10
_cell_length_a 4.882
_cell_length_b 5.596
_cell_length_c 6.908
_cell_angle_alpha 90.00
_cell_angle_beta 90.98
_cell_angle_gamma 90.00
loop_
_space_group_symop_operation_xyz
'x,y,z'
'-x,-y,-z'
'-x,y,-z'
'x,-y,z'
loop_
_atom_site_label
_atom_site_fract_x
_atom_site_fract_y
_atom_site_fract_z
_atom_site_occupancy
Ag1 0.000 0.000 0.000 1
Ag2 0.167 0.252 0.663 1
Ag3 0.336 0.000 0.329 1
Pt1 0.000 0.500 0.000 1
Pt2 0.337 0.500 0.328 1
Pt3 0.500 0.258 0.000 1

Record 9
# SCAN Ag3Pt4, single point on PBEsol structure
# - ΔE_f: 0.050 eV/atom
data_Ag3Pt4
_space_group_name_H-M_alt 'C 1 m 1'
_space_group_IT_number 8
_cell_length_a 8.834
_cell_length_b 3.960
_cell_length_c 6.265
_cell_angle_alpha 90.00
_cell_angle_beta 98.32
_cell_angle_gamma 90.00
loop_
_space_group_symop_operation_xyz
'x,y,z'
'x,-y,z'
'x+1/2,y+1/2,z'
'x+1/2,-y+1/2,z'
loop_
_atom_site_label
_atom_site_fract_x
_atom_site_fract_y
_atom_site_fract_z
_atom_site_occupancy
Ag1 0.000 0.000 0.000 1
Ag2 0.074 0.500 0.715 1
Ag3 0.361 0.500 0.576 1
Pt1 0.149 0.000 0.424 1
Pt2 0.219 0.500 0.150 1
Pt3 0.283 0.000 0.863 1
Pt4 0.434 0.000 0.285 1

Record 10
# SCAN Ag5Pt4, single point on PBEsol structure
# - ΔE_f: 0.004 eV/atom
# - Polymorph energy (0 for the lowest one): 0.000 eV/atom
data_Ag5Pt4
_space_group_name_H-M_alt 'C 1 m 1'
_space_group_IT_number 8
_cell_length_a 9.336
_cell_length_b 2.780
_cell_length_c 11.657
_cell_angle_alpha 90.00
_cell_angle_beta 110.95
_cell_angle_gamma 90.00
loop_
_space_group_symop_operation_xyz
'x,y,z'
'x,-y,z'
'x+1/2,y+1/2,z'
'x+1/2,-y+1/2,z'
loop_
_atom_site_label
_atom_site_fract_x
_atom_site_fract_y
_atom_site_fract_z
_atom_site_occupancy
Ag1 0.000 0.000 0.000 1
Ag2 0.056 0.500 0.223 1
Ag3 0.120 0.000 0.452 1
Ag4 0.335 0.000 0.329 1
Ag5 0.399 0.500 0.558 1
Pt1 0.179 0.500 0.677 1
Pt2 0.221 0.000 0.890 1
Pt3 0.277 0.500 0.106 1
Pt4 0.448 0.000 0.778 1

Record 11
# SCAN Ag5Pt7, single point on PBEsol structure
# - ΔE_f: 0.003 eV/atom
# - Polymorph energy (0 for the lowest one): 0.000 eV/atom
data_Ag5Pt7
_space_group_name_H-M_alt 'P m m 2'
_space_group_IT_number 25
_cell_length_a 2.766
_cell_length_b 8.378
_cell_length_c 8.013
_cell_angle_alpha 90.00
_cell_angle_beta 90.00
_cell_angle_gamma 90.00
loop_
_space_group_symop_operation_xyz
'x,y,z'
'-x,-y,z'
'-x,y,z'
'x,-y,z'
loop_
_atom_site_label
_atom_site_fract_x
_atom_site_fract_y
_atom_site_fract_z
_atom_site_occupancy
Ag1 0.000 0.000 0.000 1
Ag2 0.000 0.339 0.495 1
Ag3 0.500 0.165 0.253 1
Pt1 0.000 0.000 0.513 1
Pt2 0.000 0.330 0.993 1
Pt3 0.500 0.169 0.749 1
Pt4 0.500 0.500 0.230 1
Pt5 0.500 0.500 0.753 1

Record 12
# SCAN Ag5Pt, single point on PBEsol structure
# - ΔE_f: 0.006 eV/atom
# - Polymorph energy (0 for the lowest one): 0.006 eV/atom
data_Ag5Pt
_space_group_name_H-M_alt 'A m m 2'
_space_group_IT_number 38
_cell_length_a 4.676
_cell_length_b 2.832
_cell_length_c 14.693
_cell_angle_alpha 90.00
_cell_angle_beta 90.00
_cell_angle_gamma 90.00
loop_
_space_group_symop_operation_xyz
'x,y,z'
'-x,-y,z'
'-x,y,z'
'x,-y,z'
'x,y+1/2,z+1/2'
'-x,-y+1/2,z+1/2'
'-x,y+1/2,z+1/2'
'x,-y+1/2,z+1/2'
loop_
_atom_site_label
_atom_site_fract_x
_atom_site_fract_y
_atom_site_fract_z
_atom_site_occupancy
Ag1 0.000 0.000 0.000 1
Ag2 0.000 0.000 0.331 1
Ag3 0.000 0.000 0.664 1
Ag4 0.500 0.000 0.219 1
Ag5 0.500 0.000 0.888 1
Pt1 0.500 0.000 0.553 1